1.
The following is a PBE+U calculation of a relaxed AlW3O crystal, from Alexandria via LeMat-Bulk.

Properties
- Relative energy among the computed polymorphs: 0.000 eV per atom

Structure (POSCAR):
```
AlW3O
1.0
-4.032 -0.216 1.159
-0.336 -3.747 -1.869
1.130 -1.886 3.580
O W Al
1 3 1
direct
0.000 0.000 0.000 O
0.000 0.500 0.000 W
0.000 0.000 0.500 W
0.500 0.000 0.000 W
0.500 0.500 0.500 Al
```

2.
The following is a PBE+U calculation of a relaxed AlW2O crystal, from Alexandria via LeMat-Bulk.

Properties
- Relative energy among the computed polymorphs: 0.763 eV per atom

Structure (POSCAR):
```
AlW2O
1.0
0.000 3.062 3.062
3.062 0.000 3.062
3.062 3.062 0.000
O W Al
1 2 1
direct
0.000 0.000 0.000 O
0.250 0.250 0.250 W
0.750 0.750 0.750 W
0.500 0.500 0.500 Al
```

3.
The following is a PBE+U calculation of a relaxed AlWO4 crystal, from Alexandria via LeMat-Bulk.

Structure (POSCAR):
```
AlWO4
1.0
-2.631 4.934 -0.796
-3.648 -2.511 -3.506
0.504 -2.075 5.511
O Al W
4 1 1
direct
0.620 0.427 0.733 O
0.113 0.306 0.733 O
0.573 0.887 0.267 O
0.694 0.380 0.267 O
0.750 0.250 0.500 Al
0.500 0.500 0.000 W
```

4.
The following is a PBE+U calculation of a relaxed YAlWO6 crystal, from Alexandria via LeMat-Bulk.

Structure (POSCAR):
```
YAlWO6
1.0
-3.170 -3.921 -0.621
5.022 -0.760 -0.056
-0.111 -1.452 9.729
O Y Al W
12 2 2 2
direct
0.004 0.367 0.642 O
0.362 0.996 0.642 O
0.362 0.367 0.858 O
0.004 0.638 0.858 O
0.996 0.362 0.142 O
0.633 0.996 0.858 O
0.638 0.004 0.358 O
0.996 0.633 0.358 O
0.633 0.638 0.642 O
0.638 0.633 0.142 O
0.367 0.362 0.358 O
0.367 0.004 0.142 O
0.000 0.000 0.000 Y
0.000 0.000 0.500 Y
0.333 0.667 0.750 Al
0.667 0.333 0.250 Al
0.667 0.333 0.750 W
0.333 0.667 0.250 W
```

no.,spin magnetization (μB/f.u.),raw total energy (eV for the cell shown)
1,0.00,-27.4
2,0.95,-18.9
3,1.00,-44.2
4,0.00,-144.0